Record 1
# CsCa2TmCl8 | Alexandria | PBE-GGA | relaxed
data_CsCa2TmCl8
_chemical_formula_sum 'Cs1 Ca2 Tm1 Cl8'
_symmetry_space_group_name_H-M 'P 1'
_symmetry_Int_Tables_number 1
_symmetry_space_group_name_Hall 'P 1'
_cell_length_a 6.6464
_cell_length_b 6.4572
_cell_length_c 8.9483
_cell_angle_alpha 89.88
_cell_angle_beta 89.91
_cell_angle_gamma 88.70
loop_
_atom_site_label
_atom_site_fract_x
_atom_site_fract_y
_atom_site_fract_z
Tm1 0.0000 0.0000 0.0000
Cl1 0.6864 0.7394 0.9999
Cl2 0.3136 0.2606 0.0001
Cl3 0.1745 0.7628 0.8017
Cl4 0.8255 0.2372 0.1983
Cl5 0.8267 0.2384 0.8014
Cl6 0.4023 0.2742 0.5004
Cl7 0.1733 0.7616 0.1986
Cl8 0.5977 0.7258 0.4996
Ca1 0.5001 0.5002 0.2517
Ca2 0.4999 0.4998 0.7483
Cs1 0.0000 0.0000 0.5000
# - energy relative to the elements, uncorrected (eV per atom) = -2.241
# - space-group type = P-1
# - V (Å³/cell) = 383.94

Record 2
# Cs2CaTmCl6 | Alexandria | PBE-GGA | relaxed
data_Cs2CaTmCl6
_chemical_formula_sum 'Cs4 Ca2 Tm2 Cl12'
_symmetry_space_group_name_H-M 'P 1'
_symmetry_Int_Tables_number 1
_symmetry_space_group_name_Hall 'P 1'
_cell_length_a 7.6315
_cell_length_b 7.6316
_cell_length_c 10.7992
_cell_angle_alpha 90.00
_cell_angle_beta 90.00
_cell_angle_gamma 90.00
loop_
_atom_site_label
_atom_site_fract_x
_atom_site_fract_y
_atom_site_fract_z
Cs1 0.0000 0.2498 0.2500
Cs2 0.0000 0.2498 0.7500
Cs3 0.5000 0.7502 0.7500
Cs4 0.5000 0.7502 0.2500
Tm1 0.5000 0.2494 0.5000
Tm2 0.0000 0.7506 0.0000
Cl1 0.7548 0.9959 0.0000
Cl2 0.7452 0.4947 0.5000
Cl3 0.7548 0.5053 0.0000
Cl4 0.2548 0.0041 0.5000
Cl5 0.7452 0.0041 0.5000
Cl6 0.2452 0.9959 0.0000
Cl7 0.0000 0.7503 0.7548
Cl8 0.0000 0.7503 0.2452
Cl9 0.5000 0.2497 0.2548
Cl10 0.5000 0.2497 0.7452
Cl11 0.2548 0.4947 0.5000
Cl12 0.2452 0.5053 0.0000
Ca1 0.0000 0.7494 0.5000
Ca2 0.5000 0.2506 0.0000
# - energy relative to the elements, uncorrected (eV per atom) = -2.061
# - space-group type = Pmmn
# - V (Å³/cell) = 628.95

Record 3
# Cs2CaUCl6 | Alexandria | PBE-GGA | relaxed
data_Cs2CaUCl6
_chemical_formula_sum 'Cs4 Ca2 U2 Cl12'
_symmetry_space_group_name_H-M 'P 1'
_symmetry_Int_Tables_number 1
_symmetry_space_group_name_Hall 'P 1'
_cell_length_a 7.8841
_cell_length_b 7.8289
_cell_length_c 11.1211
_cell_angle_alpha 90.00
_cell_angle_beta 90.00
_cell_angle_gamma 90.00
loop_
_atom_site_label
_atom_site_fract_x
_atom_site_fract_y
_atom_site_fract_z
U1 0.0000 0.7503 0.5000
U2 0.5000 0.2497 0.0000
Cl1 0.7528 0.5042 0.0000
Cl2 0.2535 0.0039 0.5000
Cl3 0.0000 0.7502 0.2471
Cl4 0.7472 0.4958 0.5000
Cl5 0.7535 0.9961 0.0000
Cl6 0.5000 0.2498 0.2529
Cl7 0.2472 0.5042 0.0000
Cl8 0.2465 0.9961 0.0000
Cl9 0.5000 0.2498 0.7471
Cl10 0.2528 0.4958 0.5000
Cl11 0.0000 0.7502 0.7529
Cl12 0.7465 0.0039 0.5000
Cs1 0.0000 0.2500 0.2563
Cs2 0.5000 0.7500 0.2437
Cs3 0.5000 0.7500 0.7563
Cs4 0.0000 0.2500 0.7437
Ca1 0.0000 0.7498 0.0000
Ca2 0.5000 0.2502 0.5000
# - energy relative to the elements, uncorrected (eV per atom) = -1.820
# - space-group type = Immm
# - V (Å³/cell) = 686.43

Record 4
# CsCaUCl6 | Alexandria | PBE-GGA | relaxed
data_CsCaUCl6
_chemical_formula_sum 'Cs2 Ca2 U2 Cl12'
_symmetry_space_group_name_H-M 'P 1'
_symmetry_Int_Tables_number 1
_symmetry_space_group_name_Hall 'P 1'
_cell_length_a 7.3196
_cell_length_b 7.3196
_cell_length_c 15.0689
_cell_angle_alpha 90.00
_cell_angle_beta 90.00
_cell_angle_gamma 120.00
loop_
_atom_site_label
_atom_site_fract_x
_atom_site_fract_y
_atom_site_fract_z
Cl1 0.3825 0.3820 0.8536
Cl2 0.3825 0.0005 0.6464
Cl3 0.9995 0.6175 0.8536
Cl4 0.9995 0.3820 0.6464
Cl5 0.0005 0.6180 0.3536
Cl6 0.0005 0.3825 0.1464
Cl7 0.6180 0.6175 0.6464
Cl8 0.6175 0.9995 0.3536
Cl9 0.6175 0.6180 0.1464
Cl10 0.6180 0.0005 0.8536
Cl11 0.3820 0.9995 0.1464
Cl12 0.3820 0.3825 0.3536
U1 0.6667 0.3333 0.2500
U2 0.3333 0.6667 0.7500
Ca1 0.6667 0.3333 0.7500
Ca2 0.3333 0.6667 0.2500
Cs1 0.0000 0.0000 0.5000
Cs2 0.0000 0.0000 0.0000
# - energy relative to the elements, uncorrected (eV per atom) = -2.025
# - space-group type = P-31c
# - V (Å³/cell) = 699.17

Record 5
# CsCa2VCl8 | Alexandria | PBE-GGA | relaxed
data_CsCa2VCl8
_chemical_formula_sum 'Cs1 Ca2 V1 Cl8'
_symmetry_space_group_name_H-M 'P 1'
_symmetry_Int_Tables_number 1
_symmetry_space_group_name_Hall 'P 1'
_cell_length_a 6.4156
_cell_length_b 6.2746
_cell_length_c 8.8325
_cell_angle_alpha 89.63
_cell_angle_beta 89.76
_cell_angle_gamma 88.35
loop_
_atom_site_label
_atom_site_fract_x
_atom_site_fract_y
_atom_site_fract_z
Cl1 0.4194 0.2655 0.5010
Cl2 0.6970 0.7545 0.9995
Cl3 0.1616 0.7739 0.1862
Cl4 0.5806 0.7345 0.4990
Cl5 0.8384 0.2261 0.8138
Cl6 0.8349 0.2226 0.1851
Cl7 0.1651 0.7774 0.8149
Cl8 0.3030 0.2455 0.0005
Ca1 0.5004 0.5010 0.2453
Ca2 0.4996 0.4990 0.7547
Cs1 0.0000 0.0000 0.5000
V1 0.0000 0.0000 0.0000
# - energy relative to the elements, uncorrected (eV per atom) = -1.837
# - space-group type = P-1
# - V (Å³/cell) = 355.40

Record 6
# CsCaVCl6 | Alexandria | PBE-GGA | relaxed
data_CsCaVCl6
_chemical_formula_sum 'Cs1 Ca1 V1 Cl6'
_symmetry_space_group_name_H-M 'P 1'
_symmetry_Int_Tables_number 1
_symmetry_space_group_name_Hall 'P 1'
_cell_length_a 6.8033
_cell_length_b 6.8032
_cell_length_c 7.6929
_cell_angle_alpha 90.00
_cell_angle_beta 90.00
_cell_angle_gamma 60.00
loop_
_atom_site_label
_atom_site_fract_x
_atom_site_fract_y
_atom_site_fract_z
Cl1 0.3530 0.6096 0.3160
Cl2 0.0374 0.6096 0.6840
Cl3 0.6095 0.0374 0.3160
Cl4 0.6095 0.3530 0.6840
Cl5 0.3530 0.0374 0.6840
Cl6 0.0374 0.3530 0.3160
Ca1 0.6666 0.6667 0.5000
Cs1 0.0000 0.0000 0.0000
V1 0.3333 0.3333 0.5000
# - energy relative to the elements, uncorrected (eV per atom) = -1.804
# - space-group type = P312
# - V (Å³/cell) = 308.36

Record 7
# Cs2CaWCl6 | Alexandria | PBE-GGA | relaxed
data_Cs2CaWCl6
_chemical_formula_sum 'Cs2 Ca1 W1 Cl6'
_symmetry_space_group_name_H-M 'P 1'
_symmetry_Int_Tables_number 1
_symmetry_space_group_name_Hall 'P 1'
_cell_length_a 7.4009
_cell_length_b 7.4009
_cell_length_c 7.4010
_cell_angle_alpha 60.00
_cell_angle_beta 60.00
_cell_angle_gamma 90.00
loop_
_atom_site_label
_atom_site_fract_x
_atom_site_fract_y
_atom_site_fract_z
Cl1 0.2382 0.7618 0.0000
Cl2 0.7618 0.7618 0.0000
Cl3 0.2382 0.2382 0.5237
Cl4 0.7618 0.7618 0.4763
Cl5 0.7618 0.2382 0.0000
Cl6 0.2382 0.2382 0.0000
Cs1 0.2500 0.7500 0.5000
Cs2 0.7500 0.2500 0.5000
W1 0.0000 0.0000 0.0000
Ca1 0.5000 0.5000 0.0000
# - energy relative to the elements, uncorrected (eV per atom) = -1.443
# - space-group type = Fm-3m
# - V (Å³/cell) = 286.65

Record 8
# Cs2CaYCl6 | Alexandria | PBE-GGA | relaxed
data_Cs2CaYCl6
_chemical_formula_sum 'Cs2 Ca1 Y1 Cl6'
_symmetry_space_group_name_H-M 'P 1'
_symmetry_Int_Tables_number 1
_symmetry_space_group_name_Hall 'P 1'
_cell_length_a 7.7070
_cell_length_b 7.7070
_cell_length_c 7.7070
_cell_angle_alpha 60.00
_cell_angle_beta 60.00
_cell_angle_gamma 90.00
loop_
_atom_site_label
_atom_site_fract_x
_atom_site_fract_y
_atom_site_fract_z
Cs1 0.2500 0.7500 0.5000
Cs2 0.7500 0.2500 0.5000
Y1 0.0000 0.0000 0.0000
Cl1 0.7513 0.7513 0.0000
Cl2 0.2487 0.7513 0.0000
Cl3 0.7513 0.7513 0.4973
Cl4 0.7513 0.2487 0.0000
Cl5 0.2487 0.2487 0.0000
Cl6 0.2487 0.2487 0.5027
Ca1 0.5000 0.5000 0.0000
# - energy relative to the elements, uncorrected (eV per atom) = -2.083
# - space-group type = Fm-3m
# - V (Å³/cell) = 323.70

Record 9
# Cs3CaZn2Cl9 | Alexandria | PBE-GGA | relaxed
data_Cs3CaZn2Cl9
_chemical_formula_sum 'Cs3 Ca1 Zn2 Cl9'
_symmetry_space_group_name_H-M 'P 1'
_symmetry_Int_Tables_number 1
_symmetry_space_group_name_Hall 'P 1'
_cell_length_a 7.3463
_cell_length_b 7.3463
_cell_length_c 9.0307
_cell_angle_alpha 90.00
_cell_angle_beta 90.00
_cell_angle_gamma 120.00
loop_
_atom_site_label
_atom_site_fract_x
_atom_site_fract_y
_atom_site_fract_z
Cl1 0.5000 0.0000 0.0000
Cl2 0.3483 0.1741 0.6780
Cl3 0.8259 0.6517 0.6780
Cl4 0.1741 0.8259 0.3220
Cl5 0.5000 0.5000 0.0000
Cl6 0.0000 0.5000 0.0000
Cl7 0.6517 0.8259 0.3220
Cl8 0.8259 0.1741 0.6780
Cl9 0.1741 0.3483 0.3220
Cs1 0.0000 0.0000 0.0000
Cs2 0.3333 0.6667 0.6729
Cs3 0.6667 0.3333 0.3271
Zn1 0.6667 0.3333 0.8385
Zn2 0.3333 0.6667 0.1615
Ca1 0.0000 0.0000 0.5000
# - energy relative to the elements, uncorrected (eV per atom) = -1.711
# - space-group type = P-3m1
# - V (Å³/cell) = 422.08

Record 10
# CaCuCl6 | Alexandria | PBE-GGA | relaxed
data_CaCuCl6
_chemical_formula_sum 'Ca1 Cu1 Cl6'
_symmetry_space_group_name_H-M 'P 1'
_symmetry_Int_Tables_number 1
_symmetry_space_group_name_Hall 'P 1'
_cell_length_a 6.3190
_cell_length_b 7.5223
_cell_length_c 5.8909
_cell_angle_alpha 68.04
_cell_angle_beta 66.02
_cell_angle_gamma 55.93
loop_
_atom_site_label
_atom_site_fract_x
_atom_site_fract_y
_atom_site_fract_z
Cu1 0.0000 0.0000 0.0000
Cl1 0.9692 0.5184 0.2569
Cl2 0.0308 0.4816 0.7431
Cl3 0.7689 0.0733 0.7547
Cl4 0.6188 0.1918 0.2481
Cl5 0.3812 0.8082 0.7519
Cl6 0.2311 0.9267 0.2453
Ca1 0.5000 0.5000 0.5000
# - energy relative to the elements, uncorrected (eV per atom) = -0.905
# - space-group type = P-1
# - V (Å³/cell) = 207.94